# 1
First-principles (PBE) data for a relaxed structure of Ac4N3Cl, as listed in Alexandria.

Lattice parameters (Å, degrees): 3.951 6.960 6.960 71.14 89.98 89.98
Sites, in units of the cell vectors:
N (0.000, 0.000, 0.000)
N (0.500, 0.000, 0.500)
N (0.000, 0.500, 0.500)
Ac (0.500, 0.237, 0.737)
Ac (0.000, 0.777, 0.723)
Ac (0.000, 0.223, 0.277)
Ac (0.500, 0.763, 0.263)
Cl (0.500, 0.500, 0.000)

Values from the calculation:
Raw formation energy, eV/atom: -1.17


# 2
First-principles (PBE) data for a relaxed structure of AcN2Cl4, as listed in Alexandria.

Lattice parameters (Å, degrees): 6.351 5.155 6.390 84.76 119.80 90.00
Sites, in units of the cell vectors:
N (0.235, 0.951, 0.470)
N (0.765, 0.049, 0.530)
Cl (0.381, 0.906, 0.763)
Cl (0.619, 0.094, 0.237)
Cl (0.141, 0.473, 0.283)
Cl (0.859, 0.527, 0.717)
Ac (0.000, 0.000, 0.000)

Values from the calculation:
Raw formation energy, eV/atom: -0.14


# 3
First-principles (PBE) data for a relaxed structure of AcNCl, as listed in Alexandria.

Lattice parameters (Å, degrees): 3.962 4.301 10.402 100.25 90.00 117.43
Sites, in units of the cell vectors:
Ac (0.590, 0.181, 0.855)
Ac (0.410, 0.819, 0.145)
N (0.916, 0.833, 0.953)
N (0.084, 0.167, 0.047)
Cl (0.209, 0.418, 0.676)
Cl (0.791, 0.582, 0.324)

Values from the calculation:
Raw formation energy, eV/atom: -1.62


# 4
First-principles (PBE) data for a relaxed structure of Ac2NCl, as listed in Alexandria.

Lattice parameters (Å, degrees): 3.883 3.883 8.055 76.05 76.05 60.00
Sites, in units of the cell vectors:
Ac (0.064, 0.064, 0.808)
Ac (0.270, 0.270, 0.190)
N (0.667, 0.667, 0.000)
Cl (0.500, 0.500, 0.501)

Values from the calculation:
Raw formation energy, eV/atom: -1.36


# 5
First-principles (PBE) data for a relaxed structure of AcNCl, as listed in Alexandria.

Lattice parameters (Å, degrees): 4.171 4.171 9.474 91.92 91.92 71.14
Sites, in units of the cell vectors:
Ac (0.301, 0.301, 0.155)
Ac (0.699, 0.699, 0.845)
Cl (0.694, 0.694, 0.334)
Cl (0.306, 0.306, 0.666)
N (0.841, 0.159, 0.000)
N (0.159, 0.841, 0.000)

Values from the calculation:
Raw formation energy, eV/atom: -1.57


# 6
First-principles (PBE) data for a relaxed structure of Ac2NCl2, as listed in Alexandria.

Lattice parameters (Å, degrees): 7.561 7.844 9.007 90.00 91.08 90.00
Sites, in units of the cell vectors:
Cl (0.036, 0.347, 0.661)
Cl (0.964, 0.653, 0.339)
Cl (0.487, 0.796, 0.916)
Cl (0.987, 0.704, 0.916)
Cl (0.464, 0.847, 0.339)
Cl (0.536, 0.153, 0.661)
Cl (0.513, 0.204, 0.084)
Cl (0.013, 0.296, 0.084)
Ac (0.707, 0.440, 0.848)
Ac (0.793, 0.940, 0.152)
Ac (0.293, 0.560, 0.152)
Ac (0.817, 0.877, 0.596)
Ac (0.683, 0.377, 0.404)
Ac (0.207, 0.060, 0.848)
Ac (0.317, 0.623, 0.596)
Ac (0.183, 0.123, 0.404)
N (0.145, 0.922, 0.621)
N (0.645, 0.578, 0.621)
N (0.355, 0.422, 0.379)
N (0.855, 0.078, 0.379)

Values from the calculation:
Raw formation energy, eV/atom: -1.75


# 7
First-principles (PBE) data for a relaxed structure of Ac2NCl2, as listed in Alexandria.

Lattice parameters (Å, degrees): 4.026 7.903 9.273 90.00 102.54 90.00
Sites, in units of the cell vectors:
Ac (0.848, 0.049, 0.696)
Ac (0.467, 0.404, 0.933)
Ac (0.152, 0.549, 0.304)
Ac (0.533, 0.904, 0.067)
N (0.423, 0.094, 0.846)
N (0.577, 0.594, 0.154)
Cl (0.917, 0.703, 0.834)
Cl (0.083, 0.203, 0.166)
Cl (0.232, 0.884, 0.464)
Cl (0.768, 0.384, 0.536)

Values from the calculation:
Raw formation energy, eV/atom: -1.76


# 8
First-principles (PBE) data for a relaxed structure of AcNdNCl, as listed in Alexandria.

Lattice parameters (Å, degrees): 3.771 3.777 7.862 89.91 103.89 120.27
Sites, in units of the cell vectors:
Ac (0.510, 0.153, 0.678)
Cl (0.952, 0.374, 0.340)
N (0.321, 0.559, 0.895)
Nd (0.095, 0.946, 0.056)

Values from the calculation:
Raw formation energy, eV/atom: -1.44


# 9
First-principles (PBE) data for a relaxed structure of Ac4NiNCl2, as listed in Alexandria.

Lattice parameters (Å, degrees): 3.985 7.235 8.201 108.56 90.00 90.00
Sites, in units of the cell vectors:
Ac (0.000, 0.747, 0.199)
Ac (0.500, 0.210, 0.198)
Ac (0.000, 0.253, 0.801)
Ac (0.500, 0.790, 0.802)
Ni (0.500, 0.500, 0.000)
N (0.000, 0.000, 0.000)
Cl (0.500, 0.000, 0.500)
Cl (0.000, 0.500, 0.500)

Values from the calculation:
Raw formation energy, eV/atom: -1.10


# 10
First-principles (PBE) data for a relaxed structure of Ac4OsNCl2, as listed in Alexandria.

Lattice parameters (Å, degrees): 4.164 7.094 8.240 107.21 90.00 90.00
Sites, in units of the cell vectors:
Ac (0.000, 0.761, 0.197)
Ac (0.500, 0.776, 0.805)
Ac (0.500, 0.224, 0.195)
Ac (0.000, 0.239, 0.803)
N (0.000, 0.000, 0.000)
Cl (0.500, 0.000, 0.500)
Cl (0.000, 0.500, 0.500)
Os (0.500, 0.500, 0.000)

Values from the calculation:
Raw formation energy, eV/atom: -1.05


# 11
First-principles (PBE) data for a relaxed structure of Ac8Os3NCl3, as listed in Alexandria.

Lattice parameters (Å, degrees): 8.518 8.516 9.331 117.20 90.00 120.01
Sites, in units of the cell vectors:
Ac (0.263, 0.526, 0.289)
Ac (0.776, 0.032, 0.309)
Ac (0.256, 0.032, 0.309)
Ac (0.744, 0.968, 0.691)
Ac (0.223, 0.446, 0.691)
Ac (0.777, 0.554, 0.309)
Ac (0.737, 0.474, 0.711)
Ac (0.224, 0.968, 0.691)
Os (0.500, 0.000, 0.500)
Os (0.500, 0.500, 0.500)
Os (0.000, 0.500, 0.500)
Cl (0.000, 0.000, 0.000)
Cl (0.500, 0.500, 0.000)
Cl (0.000, 0.500, 0.000)
N (0.000, 0.000, 0.500)

Values from the calculation:
Raw formation energy, eV/atom: -0.74


# 12
First-principles (PBE) data for a relaxed structure of Ac4Pb2N2Cl, as listed in Alexandria.

Lattice parameters (Å, degrees): 4.308 8.731 8.381 110.04 104.89 90.00
Sites, in units of the cell vectors:
Ac (0.782, 0.850, 0.564)
Ac (0.218, 0.150, 0.436)
Ac (0.470, 0.226, 0.940)
Ac (0.530, 0.774, 0.060)
N (0.672, 0.987, 0.343)
N (0.328, 0.013, 0.657)
Pb (0.111, 0.532, 0.222)
Pb (0.889, 0.468, 0.778)
Cl (0.000, 0.000, 0.000)

Values from the calculation:
Raw formation energy, eV/atom: -1.08


Repeat the fourth record exactly.
First-principles (PBE) data for a relaxed structure of Ac2NCl, as listed in Alexandria.

Lattice parameters (Å, degrees): 3.883 3.883 8.055 76.05 76.05 60.00
Sites, in units of the cell vectors:
Ac (0.064, 0.064, 0.808)
Ac (0.270, 0.270, 0.190)
N (0.667, 0.667, 0.000)
Cl (0.500, 0.500, 0.501)

Values from the calculation:
Raw formation energy, eV/atom: -1.36


Please write out number 10 again, unchanged.
First-principles (PBE) data for a relaxed structure of Ac4OsNCl2, as listed in Alexandria.

Lattice parameters (Å, degrees): 4.164 7.094 8.240 107.21 90.00 90.00
Sites, in units of the cell vectors:
Ac (0.000, 0.761, 0.197)
Ac (0.500, 0.776, 0.805)
Ac (0.500, 0.224, 0.195)
Ac (0.000, 0.239, 0.803)
N (0.000, 0.000, 0.000)
Cl (0.500, 0.000, 0.500)
Cl (0.000, 0.500, 0.500)
Os (0.500, 0.500, 0.000)

Values from the calculation:
Raw formation energy, eV/atom: -1.05


Q: What is the raw formation energy in the seventh record?
A: -1.76 eV/atom


Copy entry 3 word for word.
First-principles (PBE) data for a relaxed structure of AcNCl, as listed in Alexandria.

Lattice parameters (Å, degrees): 3.962 4.301 10.402 100.25 90.00 117.43
Sites, in units of the cell vectors:
Ac (0.590, 0.181, 0.855)
Ac (0.410, 0.819, 0.145)
N (0.916, 0.833, 0.953)
N (0.084, 0.167, 0.047)
Cl (0.209, 0.418, 0.676)
Cl (0.791, 0.582, 0.324)

Values from the calculation:
Raw formation energy, eV/atom: -1.62